Entry 1:
Computed, not measured: an optimized crystal structure of ScBe2As at the PBE-GGA level of DFT.

Calculated total energy ... -18.03 eV for the cell shown
Energy of formation from the pure elements ... 0.10 eV/atom

Lattice parameters (Å, degrees): 5.460 5.460 3.603 70.18 70.18 122.30
Positions (direct):
As1 0.000 0.500 0.500
Sc1 0.500 0.000 0.500
Be1 0.500 0.500 0.000
Be2 0.000 0.000 0.000


Entry 2:
Computed, not measured: an optimized crystal structure of YZnPd2 at the PBE-GGA level of DFT.

Calculated total energy ... -20.69 eV for the cell shown
Energy of formation from the pure elements ... -0.64 eV/atom

Lattice parameters (Å, degrees): 3.601 4.492 4.492 90.00 90.00 90.00
Positions (direct):
Y1 0.500 0.000 0.000
Pd1 0.000 0.500 0.000
Pd2 0.000 0.000 0.500
Zn1 0.500 0.500 0.500


Entry 3:
Computed, not measured: an optimized crystal structure of Ba2AcInSe5 at the PBE-GGA level of DFT.

Calculated total energy ... -85.85 eV for the cell shown

Lattice parameters (Å, degrees): 4.454 10.142 13.523 90.00 90.00 102.68
Positions (direct):
In1 0.551 0.102 0.937
Se1 0.044 0.088 0.049
Se2 0.505 0.010 0.267
Ac1 0.791 0.581 0.522
Se3 0.709 0.418 0.177
Se4 0.639 0.278 0.505
Ba1 0.886 0.772 0.183
Se5 0.321 0.642 0.363
Ba2 0.125 0.250 0.321
Ba3 0.875 0.750 0.821
Se6 0.679 0.358 0.863
Ba4 0.114 0.228 0.683
Ac2 0.209 0.419 0.022
Se7 0.495 0.990 0.767
Se8 0.956 0.912 0.549
In2 0.449 0.898 0.437
Se9 0.291 0.582 0.677
Se10 0.361 0.722 0.005


Entry 4:
Computed, not measured: an optimized crystal structure of PtBr3 at the PBE-GGA level of DFT.

Calculated total energy ... -11.79 eV for the cell shown

Lattice parameters (Å, degrees): 3.734 5.453 6.375 115.32 107.03 90.00
Positions (direct):
Br1 0.653 0.153 0.306
Pt1 0.000 0.000 0.000
Br2 0.000 0.500 0.000
Br3 0.347 0.847 0.694


Entry 5:
Computed, not measured: an optimized crystal structure of BaBIN2 at the PBE-GGA level of DFT.

Calculated total energy ... -16.55 eV for the cell shown
Offset from the most stable computed form ... 705 meV per atom

Lattice parameters (Å, degrees): 5.241 5.241 7.021 90.00 90.00 90.00
Each line ends with the local moment (μB).
Positions (direct):
N1 0.000 0.500 0.000  1.42
B1 0.500 0.500 0.500  -0.20
N2 0.500 0.000 0.000  1.42
I1 0.000 0.000 0.500  0.03
Ba1 0.000 0.000 0.000  0.06


Entry 6:
Computed, not measured: an optimized crystal structure of LiTcN2O at the PBE-GGA level of DFT.

Calculated total energy ... -34.75 eV for the cell shown

Lattice parameters (Å, degrees): 3.844 3.844 3.933 90.00 90.00 90.00
Positions (direct):
Li1 0.500 0.500 0.500
N1 0.000 0.500 0.000
Tc1 0.000 0.000 0.000
N2 0.500 0.000 0.000
O1 0.000 0.000 0.500


Entry 7:
Computed, not measured: an optimized crystal structure of BeSi3 at the PBE-GGA level of DFT.

Calculated total energy ... -18.05 eV for the cell shown
Offset from the most stable computed form ... 149 meV per atom

Lattice parameters (Å, degrees): 4.504 4.504 4.504 131.00 131.00 71.81
Positions (direct):
Si1 0.750 0.250 0.500
Be1 0.000 0.000 0.000
Si2 0.250 0.750 0.500
Si3 0.500 0.500 0.000


Entry 8:
Computed, not measured: an optimized crystal structure of CaNd2ErSe4 at the PBE-GGA level of DFT.

Calculated total energy ... -44.74 eV for the cell shown

Lattice parameters (Å, degrees): 4.129 7.175 7.314 108.87 90.00 90.00
Positions (direct):
Se1 0.500 0.250 0.237
Nd1 0.500 0.000 0.500
Ca1 0.000 0.000 0.000
Se2 0.000 0.258 0.766
Nd2 0.000 0.500 0.500
Se3 0.000 0.742 0.234
Se4 0.500 0.750 0.763
Er1 0.500 0.500 0.000


Entry 9:
Computed, not measured: an optimized crystal structure of KLaB3 at the PBE-GGA level of DFT.

Calculated total energy ... -14.60 eV for the cell shown
Energy of formation from the pure elements ... 2.29 eV/atom
Offset from the most stable computed form ... 400 meV per atom

Lattice parameters (Å, degrees): 4.668 4.668 4.668 90.00 90.00 90.00
Positions (direct):
La1 0.500 0.500 0.500
B1 0.000 0.500 0.000
B2 0.000 0.000 0.500
K1 0.000 0.000 0.000
B3 0.500 0.000 0.000


Entry 10:
Computed, not measured: an optimized crystal structure of SiMoRu at the PBE-GGA level of DFT.

Calculated total energy ... -25.85 eV for the cell shown

Lattice parameters (Å, degrees): 2.812 2.812 6.262 90.00 90.00 120.00
Positions (direct):
Ru1 0.333 0.667 0.345
Mo1 0.000 0.000 0.998
Si1 0.667 0.333 0.656


Entry 11:
Computed, not measured: an optimized crystal structure of Cu6Sb at the PBE-GGA level of DFT.

Calculated total energy ... -23.20 eV for the cell shown

Lattice parameters (Å, degrees): 5.562 5.562 5.562 109.47 109.47 109.47
Positions (direct):
Cu1 0.500 0.250 0.750
Cu2 0.750 0.500 0.250
Cu3 0.750 0.250 0.500
Sb1 0.000 0.000 0.000
Cu4 0.250 0.500 0.750
Cu5 0.250 0.750 0.500
Cu6 0.500 0.750 0.250


Entry 12:
Computed, not measured: an optimized crystal structure of Tb4PmTm4 at the PBE-GGA level of DFT.

Calculated total energy ... -82.29 eV for the cell shown
Energy of formation from the pure elements ... 0.00 eV/atom
Offset from the most stable computed form ... 0 meV per atom

Lattice parameters (Å, degrees): 10.135 8.802 12.355 103.56 95.83 142.78
Positions (direct):
Pm1 0.501 0.500 0.250
Tb1 0.834 0.169 0.973
Tm1 0.167 0.501 0.807
Tm2 0.832 0.831 0.083
Tb2 0.836 0.169 0.473
Tb3 0.499 0.165 0.361
Tb4 0.501 0.835 0.639
Pm2 0.499 0.500 0.750
Tb5 0.164 0.831 0.527
Tm3 0.834 0.835 0.584
Tb6 0.836 0.502 0.695
Tm4 0.168 0.169 0.917
Tm5 0.166 0.165 0.416
Tb7 0.166 0.831 0.027
Tm6 0.499 0.165 0.862
Tb8 0.164 0.498 0.305
Tm7 0.833 0.499 0.193
Tm8 0.501 0.835 0.138